Below is crystalline CoTc2Sb at its relaxed geometry, with properties calculated at the GGA-PBE level.

Uncorrected formation energy ... 0.2782 eV per atom
Magnetic moment ... 10.85 μB/cell
DFT total energy ... -123.390 eV for the cell shown

Lattice parameters (Å, degrees): 6.240 6.240 6.240 90.00 90.00 90.00
Element x y z (fractional)
Co  0.000  0.000  0.000
Co  0.000  0.500  0.500
Co  0.500  0.000  0.500
Co  0.500  0.500  0.000
Tc  0.000  0.000  0.500
Tc  0.000  0.500  0.000
Tc  0.250  0.250  0.750
Tc  0.250  0.750  0.250
Tc  0.500  0.000  0.000
Tc  0.500  0.500  0.500
Tc  0.750  0.250  0.250
Tc  0.750  0.750  0.750
Sb  0.250  0.250  0.250
Sb  0.250  0.750  0.750
Sb  0.750  0.250  0.750
Sb  0.750  0.750  0.250

=====

Below is crystalline CoTcSb3 at its relaxed geometry, with properties calculated at the GGA-PBE level.

Uncorrected formation energy ... 0.9880 eV per atom
Magnetic moment ... 1.58 μB/cell
DFT total energy ... -24.899 eV for the cell shown

Lattice parameters (Å, degrees): 5.128 5.128 5.128 90.00 90.00 90.00
Element x y z (fractional)
Co  0.000  0.000  0.000
Tc  0.500  0.500  0.500
Sb  0.000  0.500  0.500
Sb  0.500  0.000  0.500
Sb  0.500  0.500  0.000